Below is Sm4CoPCl2 after structural relaxation, with properties calculated at the PBE level.

Space-group type: No. 10
Total magnetization, μB/f.u.: 0.0
Mass density, g/cm³: 6.276
Raw total energy, eV/atom: -5.561

Cell lengths 3.9134, 7.2814, 7.4224 Å; angles 107.54, 90.00, 90.00 degrees
Fractional positions:
Sm 0.0000 0.2540 0.7871
Sm 0.5000 0.2146 0.2002
Sm 0.5000 0.7854 0.7998
Cl 0.5000 0.0000 0.5000
Cl 0.0000 0.5000 0.5000
Co 0.0000 0.0000 0.0000
P 0.5000 0.5000 0.0000
Sm 0.0000 0.7460 0.2129